(1)
First-principles (GGA-PBE) data for a relaxed structure of SiTe2As, as listed in Alexandria.

Summary:
DOS(E_F)   0.672 states/eV per atom
Symmetry   I-42d, No. 122
Raw formation energy   143.6 kJ/mol of formula units
Size of the total moment   0.00 Bohr magnetons per cell
Uncorrected energy   -29.74 eV per cell

Unit cell a=7.3681 b=7.3681 c=6.6913 alpha=56.59 beta=56.59 gamma=90.00
Atoms (fractional coordinates):
Te  0.3750  0.3887  0.7500
Te  0.6113  0.1250  0.2500
Te  0.1387  0.6250  0.2500
Te  0.8750  0.8613  0.7500
Si  0.2500  0.7500  0.5000
Si  0.5000  0.5000  0.0000
As  0.7500  0.2500  0.5000
As  0.0000  0.0000  0.0000



(2)
First-principles (GGA-PBE) data for a relaxed structure of Cr2Pt, as listed in Alexandria.

Summary:
DOS(E_F)   1.299 states/eV per atom
Symmetry   Pa-3, No. 205
Size of the total moment   0.00 Bohr magnetons per cell
Uncorrected energy   -92.64 eV per cell
Calculated formation energy   709.3 meV/atom

Unit cell a=5.8350 b=5.8350 c=5.8350 alpha=90.00 beta=90.00 gamma=90.00
Atoms (fractional coordinates):
Pt  0.5000  0.5000  0.0000
Pt  0.0000  0.5000  0.5000
Pt  0.5000  0.0000  0.5000
Pt  0.0000  0.0000  0.0000
Cr  0.5923  0.5923  0.5923
Cr  0.0923  0.9077  0.4077
Cr  0.9077  0.0923  0.5923
Cr  0.4077  0.4077  0.4077
Cr  0.0923  0.5923  0.9077
Cr  0.5923  0.9077  0.0923
Cr  0.9077  0.4077  0.0923
Cr  0.4077  0.0923  0.9077